Entry from the Alexandria database: an optimized crystal structure of K2NpSnS6 (PBE-GGA).

POSCAR file:
```
K2NpSnS6
1.0
7.2058 -0.0003 0.0004
3.6026 6.2403 0.0001
3.6029 2.0802 5.7638
S K Sn Np
6 2 1 1
Direct
0.5705 0.1198 0.3021
0.6248 0.0623 0.8005
0.0075 0.5702 0.3025
0.0619 0.5125 0.8009
0.5123 0.6249 0.8008
0.1200 0.0074 0.3022
0.0674 0.0674 0.7978
0.5649 0.5649 0.3053
0.3161 0.3161 0.0516
0.8161 0.8162 0.5516
```

Properties
Crystal system: trigonal
Formation energy from raw total energies, meV per atom: -819